# 1
Here is crystalline Ba2MnGa2 at its relaxed geometry from Alexandria. Energies are from GGA-PBE.

a = 6.9447 Å, b = 6.9447 Å, c = 5.6878 Å
α = 90.00°, β = 90.00°, γ = 90.00°
Closest atoms and distances in Å follow each position.
Positions (direct):
Ba  0.1735  0.3265  0.0000  2 Ga 3.20, 1 Ba 3.41
Ba  0.3265  0.8265  0.0000  2 Ga 3.20, 1 Ba 3.41
Ba  0.6735  0.1735  0.0000  2 Ga 3.20, 1 Ba 3.41
Ba  0.8265  0.6735  0.0000  2 Ga 3.20, 1 Ba 3.41
Mn  0.0000  0.0000  0.5000  4 Ga 2.56
Mn  0.5000  0.5000  0.5000  4 Ga 2.56
Ga  0.1761  0.6761  0.5000  2 Mn 2.56
Ga  0.3239  0.1761  0.5000  2 Mn 2.56
Ga  0.6761  0.8239  0.5000  2 Mn 2.56
Ga  0.8239  0.3239  0.5000  2 Mn 2.56

Computed properties:
Crystal system: tetragonal
D(E_F), states/eV per cell: 25.058
Size of the total moment, Bohr magnetons per cell: 0.0
Energy of formation, eV per atom: 0.3477
E above lowest polymorph, kJ/mol of atoms: 19.7
SG: P4/mbm, No. 127

***

# 2
Here is crystalline Nd8GeS3Br4 at its relaxed geometry from Alexandria. Energies are from GGA-PBE.

a = 8.7745 Å, b = 8.7745 Å, c = 8.7745 Å
α = 56.22°, β = 56.22°, γ = 56.22°
Closest atoms and distances in Å follow each position.
Positions (direct):
Nd  0.2230  0.7397  0.7397  2 S 2.78, 1 Ge 2.88
Nd  0.2319  0.2319  0.2319  3 S 2.79
Nd  0.2603  0.2603  0.7770  2 S 2.78, 1 Ge 2.88
Nd  0.2603  0.7770  0.2603  2 S 2.78, 1 Ge 2.88
Nd  0.7397  0.2230  0.7397  2 S 2.78, 1 Ge 2.88
Nd  0.7397  0.7397  0.2230  2 S 2.78, 1 Ge 2.88
Nd  0.7681  0.7681  0.7681  3 S 2.79
Nd  0.7770  0.2603  0.2603  2 S 2.78, 1 Ge 2.88
Ge  0.5000  0.5000  0.5000  6 Nd 2.88
S  0.0000  0.0000  0.5000  6 Nd 2.78-2.79
S  0.0000  0.5000  0.0000  6 Nd 2.78-2.79
S  0.5000  0.0000  0.0000  6 Nd 2.78-2.79
Br  0.0000  0.0000  0.0000  6 Nd 3.18
Br  0.0000  0.5000  0.5000  6 Nd 3.27
Br  0.5000  0.0000  0.5000  6 Nd 3.27
Br  0.5000  0.5000  0.0000  6 Nd 3.27

Computed properties:
Crystal system: trigonal
D(E_F), states/eV per cell: 7.375
E_form (uncorrected), eV per atom: -1.50
Size of the total moment, Bohr magnetons per cell: 0.0
SG: R-3m, No. 166